No. 1
Crystalline TbNd4Y8 at its relaxed geometry, computed with PBE.

Computed properties:
energy	-0.389	Ry per atom
symmetry	R-3m (166)
ΔE_f	6.6	eV per formula unit

Cell lengths 11.113, 11.113, 7.850 Å; angles 90.00, 135.06, 120.00 degrees
Site moments in Bohr magnetons follow the coordinates.
Fractional coordinates of all 13 atoms:
Tb 0.000 0.500 0.500  0.09
Nd 0.000 0.000 0.000  -0.09
Nd 0.000 0.500 0.000  0.20
Nd 0.500 0.500 0.000  0.20
Nd 0.500 0.000 0.000  0.20
Y 0.519 0.760 0.279  0.07
Y 0.481 0.240 0.721  0.07
Y 0.480 0.240 0.239  0.07
Y 0.001 0.241 0.761  0.07
Y 0.520 0.760 0.761  0.07
Y 0.001 0.760 0.761  0.07
Y 0.999 0.240 0.239  0.07
Y 0.999 0.759 0.239  0.07

---

No. 2
Crystalline Tb5Nd4Y3 at its relaxed geometry, computed with PBE.

Computed properties:
energy	-0.361	Ry per atom
symmetry	C2/m (12)
ΔE_f	2.7	eV per formula unit

Cell lengths 5.953, 8.649, 9.753 Å; angles 105.47, 72.23, 69.87 degrees
Site moments in Bohr magnetons follow the coordinates.
Fractional coordinates of all 12 atoms:
Tb 0.630 0.941 0.799  0.01
Tb 0.500 0.500 0.500  0.17
Tb 0.215 0.457 0.114  0.01
Tb 0.785 0.543 0.886  0.01
Tb 0.370 0.059 0.201  0.01
Nd 0.863 0.222 0.053  0.00
Nd 0.165 0.051 0.619  0.00
Nd 0.835 0.949 0.381  0.00
Nd 0.137 0.778 0.947  0.00
Y 0.522 0.688 0.267  0.01
Y 0.000 0.500 0.500  0.15
Y 0.478 0.312 0.733  0.01

---

No. 3
Crystalline Tb5Nd3Y2 at its relaxed geometry, computed with PBE.

Computed properties:
energy	-0.356	Ry per atom
symmetry	C2/c (15)
ΔE_f	1.9	eV per formula unit

Cell lengths 9.624, 9.571, 11.187 Å; angles 125.82, 125.93, 68.53 degrees
Fractional coordinates of all 20 atoms:
Tb 0.271 0.521 0.042
Tb 0.729 0.479 0.958
Tb 0.024 0.774 0.547
Tb 0.530 0.280 0.561
Tb 0.976 0.226 0.453
Tb 0.470 0.720 0.439
Tb 0.852 0.604 0.732
Tb 0.148 0.396 0.268
Tb 0.380 0.128 0.732
Tb 0.620 0.872 0.268
Nd 0.232 0.982 0.963
Nd 0.768 0.018 0.037
Nd 0.731 0.471 0.250
Nd 0.269 0.529 0.750
Nd 0.019 0.779 0.250
Nd 0.981 0.221 0.750
Y 0.772 0.011 0.737
Y 0.228 0.989 0.263
Y 0.465 0.726 0.737
Y 0.535 0.274 0.263

---

No. 4
Crystalline TbNd2Y at its relaxed geometry, computed with PBE.

Computed properties:
energy	-0.378	Ry per atom
symmetry	Pmmm (47)
ΔE_f	0.1	eV per formula unit
energy above the most stable polymorph in this dataset	0.0	kJ/mol of atoms

Cell lengths 5.081, 7.270, 7.268 Å; angles 90.00, 90.00, 90.00 degrees
Fractional coordinates of all 8 atoms:
Tb 0.000 0.250 0.500
Tb 0.000 0.750 0.500
Nd 0.500 0.500 0.252
Nd 0.500 0.500 0.748
Nd 0.500 0.000 0.748
Nd 0.500 0.000 0.252
Y 0.000 0.250 0.000
Y 0.000 0.750 0.000